# MgZn3Pd6 GGA-PBE relaxed
# * M_tot: 0.000 μB/atom
# * Fermi-level density of states: 6.1 states/eV per cell
# * calculated volume: 299.6 Å³ per cell
# * DFT total energy: -4.20 eV/atom
# * ΔE_f: -0.546 eV per atom
data_MgZn3Pd6
_symmetry_space_group_name_H-M 'P 1 21/m 1'
_symmetry_Int_Tables_number 11
_symmetry_space_group_name_Hall '-P 2yb'
_cell_length_a 8.150
_cell_length_b 4.132
_cell_length_c 8.976
_cell_angle_alpha 90.00
_cell_angle_beta 97.64
_cell_angle_gamma 90.00
loop_
_atom_site_label
_atom_site_fract_x
_atom_site_fract_y
_atom_site_fract_z
Mg1 0.058 0.250 0.390
Zn1 0.245 0.250 0.021
Zn2 0.348 0.750 0.810
Zn3 0.450 0.250 0.603
Pd1 0.063 0.750 0.906
Pd2 0.153 0.750 0.209
Pd3 0.165 0.250 0.711
Pd4 0.264 0.750 0.513
Pd5 0.373 0.250 0.309
Pd6 0.462 0.750 0.101